Entry 1:
A relaxed YReI2N crystal. Source: Alexandria, functional PBE-GGA.

Structure (POSCAR):
```
YReI2N
1.0
6.228 0.000 0.000
0.000 6.228 0.000
0.000 0.000 4.143
Y Re I N
1 1 2 1
Direct
0.000 0.000 0.000 Y
0.500 0.500 0.500 Re
0.000 0.500 0.000 I
0.500 0.000 0.000 I
0.000 0.000 0.500 N
```

energy above the lowest structure with this stoichiometry = 0.821 eV per atom
total magnetic moment = 5.83 μB/f.u.
V = 160.7 Å³/cell
DOS(E_F) = 0.931 states/eV per atom
crystal system = tetragonal
symmetry = P4/mmm (123)
ΔE_f (raw) = 1.00 eV per atom

Entry 2:
A relaxed YReI2N crystal. Source: Alexandria, functional PBE-GGA.

Structure (POSCAR):
```
YReI2N
1.0
5.648 0.000 0.000
0.000 5.648 0.000
0.000 0.000 3.799
I Re N Y
2 1 1 1
Direct
0.000 0.500 0.000 I
0.500 0.000 0.000 I
0.000 0.000 0.000 Re
0.000 0.000 0.500 N
0.500 0.500 0.500 Y
```

energy above the lowest structure with this stoichiometry = 0.000 eV per atom
total magnetic moment = 0.00 μB/f.u.
V = 121.2 Å³/cell
DOS(E_F) = 0.820 states/eV per atom
crystal system = tetragonal
symmetry = P4/mmm (123)
ΔE_f (raw) = 0.18 eV per atom

Entry 3:
A relaxed ZnReIN2 crystal. Source: Alexandria, functional PBE-GGA.

Structure (POSCAR):
```
ZnReIN2
1.0
-0.336 2.732 -2.732
-2.812 1.708 2.054
3.714 3.026 2.570
I N Zn Re
1 2 1 1
Direct
0.000 0.000 0.500 I
0.000 0.500 0.000 N
0.500 0.000 0.000 N
0.000 0.000 0.000 Zn
0.500 0.500 0.500 Re
```

energy above the lowest structure with this stoichiometry = 1.802 eV per atom
total magnetic moment = 0.00 μB/f.u.
V = 81.8 Å³/cell
DOS(E_F) = 1.206 states/eV per atom
crystal system = tetragonal
symmetry = P4/mmm (123)
ΔE_f (raw) = 2.42 eV per atom

Entry 4:
A relaxed Zn2ReIN crystal. Source: Alexandria, functional PBE-GGA.

Structure (POSCAR):
```
Zn2ReIN
1.0
4.707 0.000 0.000
0.000 4.707 0.000
0.000 0.000 3.904
Zn Re N I
2 1 1 1
Direct
0.500 0.000 0.000 Zn
0.000 0.500 0.000 Zn
0.000 0.000 0.500 Re
0.000 0.000 0.000 N
0.500 0.500 0.500 I
```

total magnetic moment = 0.00 μB/f.u.
V = 86.5 Å³/cell
DOS(E_F) = 0.529 states/eV per atom
crystal system = tetragonal
symmetry = P4/mmm (123)
ΔE_f (raw) = 0.78 eV per atom

Entry 5:
A relaxed ZnReIN2 crystal. Source: Alexandria, functional PBE-GGA.

Structure (POSCAR):
```
ZnReIN2
1.0
-0.414 3.879 -0.203
-1.969 -0.033 3.374
4.991 0.685 2.919
I Zn Re N
1 1 1 2
Direct
0.000 0.000 0.500 I
0.500 0.500 0.500 Zn
0.000 0.000 0.000 Re
0.500 0.000 0.000 N
0.000 0.500 0.000 N
```

energy above the lowest structure with this stoichiometry = 0.000 eV per atom
total magnetic moment = 0.00 μB/f.u.
V = 88.9 Å³/cell
DOS(E_F) = 0.625 states/eV per atom
crystal system = tetragonal
symmetry = P4/mmm (123)
ΔE_f (raw) = 0.61 eV per atom

Entry 6:
A relaxed ZrReI2N crystal. Source: Alexandria, functional PBE-GGA.

Structure (POSCAR):
```
ZrReI2N
1.0
-1.947 4.075 -3.994
-5.687 -1.039 1.711
0.313 2.888 2.794
I Re Zr N
2 1 1 1
Direct
0.500 0.000 0.000 I
0.000 0.500 0.000 I
0.500 0.500 0.500 Re
0.000 0.000 0.000 Zr
0.000 0.000 0.500 N
```

energy above the lowest structure with this stoichiometry = 0.353 eV per atom
total magnetic moment = 5.76 μB/f.u.
V = 146.5 Å³/cell
DOS(E_F) = 0.383 states/eV per atom
crystal system = tetragonal
symmetry = P4/mmm (123)
ΔE_f (raw) = 0.97 eV per atom